A | ## RbAgAsO (PBE)

Data for a geometry-optimized RbAgAsO structure.

abc: 3.807 8.959 5.521
angles: 90.00 90.00 90.00
Atoms (fractional coordinates):
1 Rb 0.000 0.158 0.000
2 Rb 0.000 0.842 0.500
3 Ag 0.500 0.246 0.500
4 Ag 0.500 0.754 0.000
5 As 0.500 0.499 0.249
6 As 0.500 0.501 0.749
7 O 0.000 0.146 0.500
8 O 0.000 0.854 0.000

Properties
* SG: Pmc2_1, No. 26

***

B | ## RbAgAsO (PBE)

Data for a geometry-optimized RbAgAsO structure.

abc: 4.603 4.603 9.550
angles: 90.00 90.00 90.00
Atoms (fractional coordinates):
1 Rb 0.250 0.250 0.143
2 Rb 0.750 0.750 0.857
3 Ag 0.250 0.750 0.500
4 Ag 0.750 0.250 0.500
5 As 0.250 0.250 0.626
6 As 0.750 0.750 0.374
7 O 0.250 0.750 0.000
8 O 0.750 0.250 0.000

Properties
* SG: P4/nmm, No. 129

***

Which one is the most stable? From the structures above, A.